No. 1
4
Lattice="1.8553 1.0712 7.6303 -1.8553 1.0712 7.6303 0.0000 -2.1423 7.6303" Properties=species:S:1:pos:R:3 comment="CrOsSe2, relaxed, DFT PBE" formation_energy_uncorrected_ev_per_atom=0.435 m_tot_mub_per_cell=3.91 final_energy_ev_per_cell=-26.081 de_polymorph_mev_per_atom=506 pbc="T T T"
Cr 0.0000 0.0000 0.0000
Os 0.0000 0.0000 11.4455
Se 0.0000 0.0000 2.5037
Se 0.0000 0.0000 20.3873

No. 2
12
Lattice="9.6634 -2.1756 0.0000 9.6634 2.1756 0.0000 -2.3032 0.0000 8.6195" Properties=species:S:1:pos:R:3 comment="La2DyTm3Te6, relaxed, DFT PBE" formation_energy_uncorrected_ev_per_atom=-1.333 m_tot_mub_per_cell=0.00 final_energy_ev_per_cell=-62.715 pbc="T T T"
La 2.4603 0.0000 2.8746
La 14.5633 0.0000 5.7450
Dy 9.6634 0.0000 0.0000
Tm 1.3902 0.0000 7.1942
Tm 8.5118 0.0000 4.3098
Tm 15.6335 0.0000 1.4253
Te -1.5991 0.0000 6.4652
Te 4.3190 0.0000 8.0399
Te 5.6121 0.0000 3.4930
Te 11.4116 0.0000 5.1265
Te 12.7047 0.0000 0.5796
Te 18.6227 0.0000 2.1544

No. 3
8
Lattice="-4.5482 4.5482 3.4739 4.5482 -4.5482 3.4739 4.5482 4.5482 -3.4739" Properties=species:S:1:pos:R:3 comment="Ca2ScI, relaxed, DFT PBE" formation_energy_uncorrected_ev_per_atom=0.011 m_tot_mub_per_cell=3.61 final_energy_ev_per_cell=-23.678 de_polymorph_mev_per_atom=0 pbc="T T T"
Ca 6.8223 1.9524 -0.8685
Ca 1.9524 2.2741 0.8685
Ca -2.2741 2.5958 2.6054
Ca 2.5958 2.2741 4.3424
Sc 4.5482 0.0000 1.7370
Sc 0.0000 0.0000 3.4739
I 0.0000 0.0000 0.0000
I 0.0000 4.5482 1.7370

No. 4
4
Lattice="4.7433 -1.6236 0.0000 4.7433 1.6236 0.0000 -1.1584 0.0000 4.7888" Properties=species:S:1:pos:R:3 comment="AgSbW2, relaxed, DFT PBE" formation_energy_uncorrected_ev_per_atom=0.671 m_tot_mub_per_cell=0.00 final_energy_ev_per_cell=-30.195 pbc="T T T"
Ag 0.0000 0.0000 0.0000
Sb 6.9793 0.0000 1.2207
W 1.4289 0.0000 3.4620
W 4.3913 0.0000 2.5628

No. 5
5
Lattice="5.4641 0.0000 0.0000 0.0000 5.4641 0.0000 0.0000 0.0000 5.4641" Properties=species:S:1:pos:R:3 comment="Sn3AuCl, relaxed, DFT PBE" formation_energy_uncorrected_ev_per_atom=0.196 m_tot_mub_per_cell=0.00 final_energy_ev_per_cell=-16.152 de_polymorph_mev_per_atom=0 pbc="T T T"
Sn 0.0000 0.0000 2.7321
Sn 0.0000 2.7321 0.0000
Sn 2.7321 0.0000 0.0000
Au 0.0000 0.0000 0.0000
Cl 2.7321 2.7321 2.7321

No. 6
8
Lattice="-4.5357 4.5357 2.6965 4.5357 -4.5357 2.6965 4.5357 4.5357 -2.6965" Properties=species:S:1:pos:R:3 comment="NaAg2Br, relaxed, DFT PBE" formation_energy_uncorrected_ev_per_atom=-0.094 m_tot_mub_per_cell=0.00 final_energy_ev_per_cell=-18.143 de_polymorph_mev_per_atom=0 pbc="T T T"
Na 0.0000 0.0000 0.0000
Na 0.0000 4.5357 1.3483
Ag 2.2679 -1.8280 2.0224
Ag 2.7077 2.2679 0.6741
Ag 2.2679 6.3637 -0.6741
Ag 1.8280 2.2679 3.3707
Br 4.5357 0.0000 1.3483
Br 0.0000 0.0000 2.6965

No. 7
6
Lattice="6.0325 0.0000 0.0000 0.0000 3.6641 0.0000 -0.1749 0.0000 6.3550" Properties=species:S:1:pos:R:3 comment="PtSeS, relaxed, DFT PBE" formation_energy_uncorrected_ev_per_atom=-0.372 m_tot_mub_per_cell=0.00 final_energy_ev_per_cell=-29.540 de_polymorph_mev_per_atom=3 pbc="T T T"
Pt -0.0346 0.9160 1.5442
Pt 5.8922 2.7481 4.8108
Se 1.2125 0.9160 3.7426
Se 4.6451 2.7481 2.6124
S 1.2089 2.7481 0.5594
S 4.6487 0.9160 5.7956

No. 8
9
Lattice="5.5013 0.0000 0.0000 0.0000 5.5013 0.0000 0.0000 0.0000 12.1211" Properties=species:S:1:pos:R:3 comment="Pm2NdSmBi5, relaxed, DFT PBE" m_tot_mub_per_cell=0.00 final_energy_ev_per_cell=-38.918 delta_e_f_mev_per_atom=-58 pbc="T T T"
Pm 0.0000 0.0000 2.7753
Pm 0.0000 0.0000 9.3459
Nd 2.7506 2.7506 6.0606
Sm 2.7506 2.7506 0.0000
Bi 0.0000 0.0000 6.0606
Bi 0.0000 2.7506 0.0000
Bi 2.7506 0.0000 0.0000
Bi 2.7506 2.7506 3.0599
Bi 2.7506 2.7506 9.0612

No. 9
8
Lattice="6.3581 0.0000 0.0000 -3.1790 5.5062 0.0000 0.0000 0.0000 4.6178" Properties=species:S:1:pos:R:3 comment="HoThGa6, relaxed, DFT PBE" m_tot_mub_per_cell=0.00 final_energy_ev_per_cell=-34.322 delta_e_f_mev_per_atom=-520 pbc="T T T"
Ho 0.0000 0.0000 0.0000
Th 0.0000 3.6708 2.3089
Ga 1.7692 1.0214 2.3089
Ga 3.1790 0.2627 0.0000
Ga 1.8170 2.6218 0.0000
Ga 4.5889 1.0214 2.3089
Ga 3.1790 3.4634 2.3089
Ga 4.5410 2.6218 0.0000

No. 10
8
Lattice="7.3999 0.0000 0.0000 0.0000 4.2181 0.0000 -2.3963 0.0000 7.0373" Properties=species:S:1:pos:R:3 comment="KCe2YSe4, relaxed, DFT PBE" formation_energy_uncorrected_ev_per_atom=-1.689 m_tot_mub_per_cell=2.48 final_energy_ev_per_cell=-46.881 pbc="T T T"
K 0.0000 0.0000 0.0000
Ce 2.5018 0.0000 3.5186
Ce 3.6999 2.1090 0.0000
Y -1.1982 2.1090 3.5186
Se 0.0520 0.0000 5.1883
Se 1.2675 2.1090 1.8850
Se 3.7360 2.1090 5.1523
Se 4.9516 0.0000 1.8490

No. 11
10
Lattice="-4.9400 4.9400 3.1054 4.9400 -4.9400 3.1054 4.9400 4.9400 -3.1054" Properties=species:S:1:pos:R:3 comment="Tb5Sb4I, relaxed, DFT PBE" formation_energy_uncorrected_ev_per_atom=-1.097 m_tot_mub_per_cell=0.00 final_energy_ev_per_cell=-52.162 pbc="T T T"
Tb 0.0000 0.0000 0.0000
Tb 5.9641 1.7961 0.0000
Tb 1.7961 3.9159 0.0000
Tb 3.1439 1.0241 3.1054
Tb -1.0241 3.1439 3.1054
Sb 2.9203 1.0518 0.0000
Sb 3.8882 -2.0197 3.1054
Sb 1.0518 6.9596 0.0000
Sb 2.0197 3.8882 3.1054
I 0.0000 0.0000 3.1054

No. 12
9
Lattice="4.6142 -1.4730 0.0000 4.6142 1.4730 0.0000 -2.8204 0.0000 8.2390" Properties=species:S:1:pos:R:3 comment="VCr6Ga2, relaxed, DFT PBE" m_tot_mub_per_cell=0.61 final_energy_ev_per_cell=-72.879 delta_e_f_mev_per_atom=4 pbc="T T T"
V 0.0000 0.0000 0.0000
Cr -0.8402 0.0000 2.6201
Cr 2.7502 0.0000 0.9506
Cr 0.8905 0.0000 6.4710
Cr 5.5176 0.0000 1.7680
Cr 3.6579 0.0000 7.2884
Cr 7.2483 0.0000 5.6189
Ga 1.9024 0.0000 3.5996
Ga 4.5057 0.0000 4.6394

No. 13
7
Lattice="5.9905 -1.7194 0.0000 5.9905 1.7194 0.0000 -2.6859 0.0000 5.2216" Properties=species:S:1:pos:R:3 comment="TbDy2O4, relaxed, DFT PBE" formation_energy_uncorrected_ev_per_atom=-3.218 m_tot_mub_per_cell=0.00 final_energy_ev_per_cell=-56.191 pbc="T T T"
Tb 0.0000 0.0000 0.0000
Dy 2.7610 0.0000 1.5564
Dy 6.5341 0.0000 3.6652
O 0.4691 0.0000 2.2404
O 1.6027 0.0000 5.1126
O 7.6923 0.0000 0.1090
O 8.8259 0.0000 2.9813

No. 14
10
Lattice="7.9151 0.0000 0.0000 0.0000 7.9151 0.0000 0.0000 0.0000 3.2924" Properties=species:S:1:pos:R:3 comment="Tl2IO2, relaxed, DFT PBE" formation_energy_uncorrected_ev_per_atom=0.064 m_tot_mub_per_cell=0.00 final_energy_ev_per_cell=-31.760 de_polymorph_mev_per_atom=556 pbc="T T T"
Tl 1.0359 2.9217 0.0000
Tl 2.9217 6.8792 0.0000
Tl 4.9934 1.0359 0.0000
Tl 6.8792 4.9934 0.0000
I 0.0000 0.0000 0.0000
I 3.9575 3.9575 0.0000
O 0.9268 4.8844 1.6462
O 3.0307 0.9268 1.6462
O 4.8844 6.9882 1.6462
O 6.9882 3.0307 1.6462

No. 15
4
Lattice="3.1967 0.0000 0.0000 0.0000 3.9999 0.0000 0.0000 0.0000 6.3618" Properties=species:S:1:pos:R:3 comment="CaAg2P, relaxed, DFT PBE" m_tot_mub_per_cell=0.00 final_energy_ev_per_cell=-13.719 delta_e_f_mev_per_atom=-151 pbc="T T T"
Ca 0.0000 0.0000 0.0000
Ag 0.0000 0.0000 3.0542
Ag 1.5984 2.0000 4.2949
P 1.5984 2.0000 1.4591

No. 16
4
Lattice="3.6762 0.0000 0.0000 0.0000 3.5875 0.0000 -1.4598 0.0000 5.5731" Properties=species:S:1:pos:R:3 comment="BeP2Br, relaxed, DFT PBE" formation_energy_uncorrected_ev_per_atom=0.115 m_tot_mub_per_cell=0.00 final_energy_ev_per_cell=-15.758 de_polymorph_mev_per_atom=348 pbc="T T T"
Be 0.0000 0.0000 0.0000
P -0.4409 1.7938 4.8199
P 2.6573 1.7938 0.7531
Br 1.1082 0.0000 2.7865

No. 17
4
Lattice="0.0000 2.9733 2.9733 2.9733 0.0000 2.9733 2.9733 2.9733 0.0000" Properties=species:S:1:pos:R:3 comment="AlVTcNi, relaxed, DFT PBE" m_tot_mub_per_cell=0.81 final_energy_ev_per_cell=-30.544 delta_e_f_mev_per_atom=-384 pbc="T T T"
Al 0.0000 0.0000 0.0000
V 2.9733 2.9733 2.9733
Tc 1.4867 1.4867 1.4867
Ni 4.4600 4.4600 4.4600

No. 18
20
Lattice="9.7339 0.0000 0.0000 0.0000 9.7339 0.0000 0.0000 0.0000 3.3934" Properties=species:S:1:pos:R:3 comment="PuSc2Si2Ru5, relaxed, DFT PBE" formation_energy_uncorrected_ev_per_atom=-0.590 m_tot_mub_per_cell=6.22 final_energy_ev_per_cell=-180.237 pbc="T T T"
Pu 0.0000 0.0000 0.0000
Pu 4.8670 4.8670 0.0000
Sc 1.6502 3.2167 0.0000
Sc 3.2167 8.0837 0.0000
Sc 6.5172 1.6502 0.0000
Sc 8.0837 6.5172 0.0000
Si 1.2364 6.1033 0.0000
Si 3.6306 1.2364 0.0000
Si 6.1033 8.4976 0.0000
Si 8.4976 3.6306 0.0000
Ru 0.0000 4.8670 1.6967
Ru 0.6965 7.6993 1.6967
Ru 2.0346 0.6965 1.6967
Ru 2.8323 5.5634 1.6967
Ru 4.1705 2.8323 1.6967
Ru 4.8670 0.0000 1.6967
Ru 5.5634 6.9016 1.6967
Ru 6.9016 4.1705 1.6967
Ru 7.6993 9.0375 1.6967
Ru 9.0375 2.0346 1.6967

No. 19
10
Lattice="-4.4401 4.4401 6.2733 4.4401 -4.4401 6.2733 4.4401 4.4401 -6.2733" Properties=species:S:1:pos:R:3 comment="Cs3NiI6, relaxed, DFT PBE" formation_energy_uncorrected_ev_per_atom=-0.864 m_tot_mub_per_cell=1.00 final_energy_ev_per_cell=-26.280 de_polymorph_mev_per_atom=21 pbc="T T T"
Cs 0.0000 0.0000 0.0000
Cs 4.4401 0.0000 3.1367
Cs 0.0000 4.4401 3.1367
Ni 0.0000 0.0000 6.2733
I 0.0000 0.0000 3.5868
I 2.5383 2.5383 0.0000
I 1.9018 -1.9018 6.2733
I -1.9018 1.9018 6.2733
I 0.0000 0.0000 8.9599
I 1.9018 1.9018 6.2733

No. 20
6
Lattice="3.8926 0.0000 0.0000 -1.9463 3.3711 0.0000 0.0000 0.0000 14.2670" Properties=species:S:1:pos:R:3 comment="CaAcF, relaxed, DFT PBE" formation_energy_uncorrected_ev_per_atom=-1.710 m_tot_mub_per_cell=0.00 final_energy_ev_per_cell=-26.222 de_polymorph_mev_per_atom=0 pbc="T T T"
Ca 0.0000 0.0000 3.3361
Ca 0.0000 0.0000 10.9309
Ac 0.0000 0.0000 7.1335
Ac 1.9463 1.1237 0.0000
F 1.9463 1.1237 2.8223
F 1.9463 1.1237 11.4447

No. 21
11
Lattice="4.0360 -5.5607 0.0000 4.0360 5.5607 0.0000 0.0000 0.0000 7.2536" Properties=species:S:1:pos:R:3 comment="Y7Ga2Sn2, relaxed, DFT PBE" m_tot_mub_per_cell=0.00 final_energy_ev_per_cell=-62.798 delta_e_f_mev_per_atom=-317 pbc="T T T"
Y 0.0000 0.0000 0.0000
Y 2.0180 2.7803 1.9932
Y 2.0180 2.7803 5.2604
Y 2.0180 -2.7803 1.9932
Y 2.0180 -2.7803 5.2604
Y 4.0360 0.0000 1.7758
Y 4.0360 0.0000 5.4777
Ga 4.0360 2.3748 0.0000
Ga 4.0360 -2.3748 0.0000
Sn 1.4566 0.0000 3.6268
Sn 6.6153 0.0000 3.6268

No. 22
20
Lattice="8.3127 0.0000 0.0000 4.1113 8.0496 0.0000 1.8739 2.1092 9.2627" Properties=species:S:1:pos:R:3 comment="Tb7Tm12Pb, relaxed, DFT PBE" m_tot_mub_per_cell=0.00 final_energy_ev_per_cell=-88.897 delta_e_f_mev_per_atom=44 pbc="T T T"
Tb 0.0000 0.0000 0.0000
Tb 2.4871 3.1110 1.4311
Tb 7.0742 8.1339 2.6932
Tb 5.1319 2.5620 3.7945
Tb 9.1660 7.5968 5.4682
Tb 7.2238 2.0250 6.5694
Tb 11.8108 7.0478 7.8316
Tm 2.2595 1.6401 5.7742
Tm 4.4635 3.8682 7.3896
Tm 5.0744 5.5537 2.1797
Tm 5.9582 6.1814 5.2700
Tm 6.7253 6.5568 8.3552
Tm 9.1093 8.8566 8.7477
Tm 5.1886 1.3023 0.5149
Tm 7.5727 3.6020 0.9074
Tm 8.3398 3.9774 3.9927
Tm 9.2235 4.6051 7.0829
Tm 9.8345 6.2907 1.8730
Tm 12.0385 8.5187 3.4884
Pb 2.9926 5.0794 4.6313

No. 23
11
Lattice="3.5093 0.0000 0.0000 0.0042 8.4771 0.0000 1.7511 3.1037 10.7202" Properties=species:S:1:pos:R:3 comment="Tm2Th5Sc4, relaxed, DFT PBE" m_tot_mub_per_cell=0.00 final_energy_ev_per_cell=-70.854 delta_e_f_mev_per_atom=47 de_polymorph_mev_per_atom=0 pbc="T T T"
Tm 0.8760 4.3052 1.4941
Tm 4.3886 7.2755 9.2261
Th 0.8756 1.5518 5.3601
Th 0.8807 7.0881 3.4382
Th 2.6369 10.1142 8.3690
Th 2.6277 1.4665 2.3512
Th 4.3840 4.4926 7.2820
Sc 2.6272 4.4487 10.1889
Sc 2.6341 7.3139 6.3514
Sc 2.6305 4.2668 4.3688
Sc 2.6374 7.1320 0.5313